Density functional theory data (GGA-PBE) for a relaxed structure of AlMoHPd2.

Geometry as extended XYZ:
```
5
Lattice="3.8012 0.0000 0.0000 0.0000 4.4180 0.0000 0.0000 0.0000 3.8012" Properties=species:S:1:pos:R:3 pbc="T T T"
Pd 0.0000 0.0000 1.9006
Pd 1.9006 0.0000 0.0000
Al 0.0000 2.2090 0.0000
H 0.0000 0.0000 0.0000
Mo 1.9006 2.2090 1.9006
```

Crystal system ... tetragonal
Total DFT energy (no corrections) ... -0.4165 Ry/atom
Excess energy over the best structure of this formula in the dataset ... 0.000 eV/atom



Density functional theory data (GGA-PBE) for a relaxed structure of SiBi3W.

Geometry as extended XYZ:
```
5
Lattice="-0.8162 -5.0244 -1.7744 1.4142 -1.9350 4.8286 -5.1375 0.2656 1.6111" Properties=species:S:1:pos:R:3 pbc="T T T"
Bi -0.4081 -2.5122 -0.8872
Bi -2.5687 0.1328 0.8055
Bi 0.7071 -0.9675 2.4143
Si -2.2698 -3.3469 2.3326
W 0.0000 0.0000 0.0000
```

Crystal system ... cubic
Total DFT energy (no corrections) ... -0.3586 Ry/atom
Excess energy over the best structure of this formula in the dataset ... 0.000 eV/atom
Raw formation energy ... 5.6 eV per formula unit



Density functional theory data (GGA-PBE) for a relaxed structure of GeH2F6.

Geometry as extended XYZ:
```
18
Lattice="4.6358 -0.1954 -0.1891 1.1119 6.7607 0.2757 1.1119 0.4946 6.7483" Properties=species:S:1:pos:R:3 pbc="T T T"
F 4.3591 0.9214 0.1152
F 3.1532 4.9057 4.0117
F 5.3747 5.9637 2.3941
F 3.0568 2.6838 5.9776
F 5.4711 4.0709 4.6786
F 3.8028 4.3762 0.8572
F 1.4849 1.0962 4.4407
F 4.8185 6.8173 5.8230
F 2.5005 6.1385 6.7196
F 2.0412 0.2426 1.0118
F 1.3886 2.9891 2.1562
F 3.7065 2.1542 2.8231
H 4.5958 2.3903 2.4985
H 4.5818 4.3877 4.4322
H 2.2779 2.6723 2.4026
H 2.2639 4.6697 4.3363
Ge 4.5888 5.9012 0.8704
Ge 2.2709 1.1588 5.9645
```

Crystal system ... monoclinic
Total DFT energy (no corrections) ... -0.3286 Ry/atom
Excess energy over the best structure of this formula in the dataset ... 0.042 eV/atom



Density functional theory data (GGA-PBE) for a relaxed structure of Tl13Hg3.

Geometry as extended XYZ:
```
16
Lattice="7.0327 0.0000 0.0000 0.0000 8.3205 -0.8801 0.0000 0.0371 8.3668" Properties=species:S:1:pos:R:3 pbc="T T T"
Tl 5.2872 7.9958 3.7763
Tl 3.5164 1.6661 2.2082
Tl 0.0000 5.8602 6.0336
Tl 0.0000 6.6645 0.9685
Tl 3.5164 5.9800 6.0727
Tl 3.5164 2.4910 5.6274
Tl 1.7456 3.7277 -0.0471
Tl 3.5164 6.6145 1.0243
Tl 5.2872 3.7277 -0.0471
Tl 0.0000 1.7181 2.3230
Tl 1.7626 4.5544 3.3240
Tl 1.7456 7.9958 3.7763
Tl 5.2701 4.5544 3.3240
Hg 5.3046 0.4293 7.9289
Hg 1.7282 0.4293 7.9289
Hg 0.0000 2.4514 5.6716
```

Crystal system ... orthorhombic
Calculated formation energy ... 0.008 eV per atom
Total DFT energy (no corrections) ... -0.1449 Ry/atom



Density functional theory data (GGA-PBE) for a relaxed structure of BaYIn.

Geometry as extended XYZ:
```
3
Lattice="5.5947 0.0000 0.0000 2.7974 4.8452 0.0000 2.7974 1.6151 4.5681" Properties=species:S:1:pos:R:3 pbc="T T T"
In 8.3921 4.8452 3.4261
Y 0.0000 0.0000 0.0000
Ba 5.5947 3.2301 2.2840
```

Crystal system ... cubic
Calculated formation energy ... -0.002 eV per atom
Total DFT energy (no corrections) ... -0.2727 Ry/atom
Excess energy over the best structure of this formula in the dataset ... 0.335 eV/atom



Density functional theory data (GGA-PBE) for a relaxed structure of Cs3Dy2PbSe6.

Geometry as extended XYZ:
```
12
Lattice="7.4863 -0.0037 0.0017 -3.7445 6.4826 0.0017 -1.2462 -2.1578 8.3779" Properties=species:S:1:pos:R:3 pbc="T T T"
Cs 5.0336 -0.0259 4.1906
Cs 1.2478 2.1605 4.1906
Cs -2.5380 4.3470 4.1906
Se -1.2934 2.2411 1.5792
Se 0.0466 0.0807 6.8150
Se -0.0920 4.3214 6.8020
Se 2.4490 4.2404 1.5662
Se 3.7890 2.0800 6.8020
Se 2.5875 -0.0003 1.5792
Pb 0.0000 0.0000 0.0000
Dy 3.7494 2.1545 0.0017
Dy -0.0076 4.3244 0.0017
```

Crystal system ... monoclinic
Total DFT energy (no corrections) ... -0.3230 Ry/atom
Raw formation energy ... -16.3 eV per formula unit



Density functional theory data (GGA-PBE) for a relaxed structure of Sc2WAu.

Geometry as extended XYZ:
```
4
Lattice="-3.1784 -2.8166 3.4794 -0.9848 -4.7457 2.5789 2.0826 0.2043 4.6355" Properties=species:S:1:pos:R:3 pbc="T T T"
Au -0.5944 -1.7444 2.2889
W -0.9916 -3.7990 5.7224
Sc -3.9308 -7.3912 6.2577
Sc -1.7672 -5.6647 7.8299
```

Crystal system ... monoclinic
Calculated formation energy ... -0.072 eV per atom
Total DFT energy (no corrections) ... -0.5362 Ry/atom
Excess energy over the best structure of this formula in the dataset ... 0.121 eV/atom



Density functional theory data (GGA-PBE) for a relaxed structure of TiSbRu3.

Geometry as extended XYZ:
```
5
Lattice="4.7204 0.0000 0.0000 0.0000 4.7204 0.0000 0.0000 0.0000 4.7204" Properties=species:S:1:pos:R:3 pbc="T T T"
Sb 0.0000 0.0000 0.0000
Ti 2.3602 2.3602 2.3602
Ru 0.0000 0.0000 2.3602
Ru 0.0000 2.3602 0.0000
Ru 2.3602 0.0000 0.0000
```

Crystal system ... cubic
Total DFT energy (no corrections) ... -0.4851 Ry/atom
Excess energy over the best structure of this formula in the dataset ... 0.407 eV/atom
Raw formation energy ... 6.8 eV per formula unit